Record 1
VASP calculation (PBE) on a relaxed Na3Nd3TaO8 crystal.

Calculated values
Final energy (eV per atom): -7.27
ρ (Mg/m³): 5.7
Formation energy without anion corrections (eV/atom): -2.621
Density of states at the Fermi level (states/eV/cell): 1.47

a = 6.936 Å, b = 6.948 Å, c = 6.975 Å
α = 119.91°, β = 89.97°, γ = 119.99°
Sites, in units of the cell vectors:
Na (0.000, 0.500, 0.000)
Na (0.500, 0.500, 0.000)
Na (0.000, 0.000, 0.000)
O (0.793, 0.011, 0.304)
O (0.254, 0.509, 0.263)
O (0.206, 0.413, 0.696)
O (0.218, 0.011, 0.304)
O (0.207, 0.989, 0.696)
O (0.794, 0.587, 0.304)
O (0.746, 0.491, 0.737)
O (0.782, 0.989, 0.696)
Nd (0.500, 0.000, 0.500)
Nd (0.500, 0.500, 0.500)
Nd (0.000, 0.500, 0.500)
Ta (0.000, 0.000, 0.500)

***

Record 2
VASP calculation (PBE) on a relaxed Na3Tb2NdO6 crystal.

Calculated values
Final energy (eV per atom): -6.70
ρ (Mg/m³): 5.8
Formation energy without anion corrections (eV/atom): -2.717
Density of states at the Fermi level (states/eV/cell): 0.00

a = 6.062 Å, b = 6.062 Å, c = 5.959 Å
α = 99.73°, β = 99.73°, γ = 120.02°
Sites, in units of the cell vectors:
O (0.071, 0.413, 0.213)
O (0.929, 0.587, 0.787)
O (0.413, 0.071, 0.213)
O (0.587, 0.929, 0.787)
O (0.728, 0.728, 0.214)
O (0.272, 0.272, 0.786)
Na (0.829, 0.171, 0.500)
Na (0.171, 0.829, 0.500)
Na (0.500, 0.500, 0.500)
Tb (0.667, 0.333, 0.000)
Tb (0.333, 0.667, 0.000)
Nd (0.000, 0.000, 0.000)

***

Record 3
VASP calculation (PBE) on a relaxed NaNdTc2O8 crystal.

Calculated values
Final energy (eV per atom): -7.43
ρ (Mg/m³): 4.9
Formation energy without anion corrections (eV/atom): -1.892
Density of states at the Fermi level (states/eV/cell): 4.97

a = 5.332 Å, b = 5.332 Å, c = 6.995 Å
α = 112.40°, β = 112.40°, γ = 90.00°
Last column: magnetic moment on the atom in μB.
Sites, in units of the cell vectors:
O (0.730, 0.825, 0.154)  0.05
O (0.175, 0.576, 0.846)  0.05
O (0.577, 0.696, 0.668)  0.04
O (0.304, 0.909, 0.332)  0.04
O (0.671, 0.270, 0.846)  0.05
O (0.028, 0.423, 0.332)  0.04
O (0.091, 0.972, 0.668)  0.04
O (0.424, 0.329, 0.154)  0.05
Na (0.750, 0.250, 0.500)  0.00
Nd (0.000, 0.000, 0.000)  0.06
Tc (0.250, 0.750, 0.500)  0.62
Tc (0.500, 0.500, 0.000)  0.71

***

Record 4
VASP calculation (PBE) on a relaxed Na2NdTcO6 crystal.

Calculated values
Final energy (eV per atom): -6.67
ρ (Mg/m³): 4.7
Formation energy without anion corrections (eV/atom): -1.921

a = 5.680 Å, b = 5.878 Å, c = 8.166 Å
α = 90.00°, β = 90.45°, γ = 90.00°
Sites, in units of the cell vectors:
O (0.832, 0.769, 0.940)
O (0.272, 0.676, 0.047)
O (0.399, 0.961, 0.721)
O (0.101, 0.461, 0.779)
O (0.728, 0.324, 0.953)
O (0.668, 0.269, 0.560)
O (0.228, 0.176, 0.453)
O (0.168, 0.231, 0.060)
O (0.899, 0.539, 0.221)
O (0.332, 0.731, 0.440)
O (0.601, 0.039, 0.279)
O (0.772, 0.824, 0.547)
Na (0.988, 0.044, 0.746)
Na (0.512, 0.544, 0.754)
Na (0.012, 0.956, 0.254)
Na (0.488, 0.456, 0.246)
Tc (0.500, 0.000, 0.500)
Tc (0.000, 0.500, 0.000)
Nd (0.500, 0.000, 0.000)
Nd (0.000, 0.500, 0.500)

***

Record 5
VASP calculation (PBE) on a relaxed NaNdTcO6 crystal.

Calculated values
Final energy (eV per atom): -6.89
ρ (Mg/m³): 4.5
Formation energy without anion corrections (eV/atom): -1.755

a = 5.592 Å, b = 5.588 Å, c = 4.909 Å
α = 90.81°, β = 89.05°, γ = 59.69°
Last column: magnetic moment on the atom in μB.
Sites, in units of the cell vectors:
Nd (0.000, 0.999, 0.000)  -0.01
O (0.061, 0.625, 0.720)  0.01
O (0.320, 0.610, 0.264)  0.00
O (0.073, 0.286, 0.309)  0.45
O (0.285, 0.072, 0.688)  0.43
O (0.626, 0.062, 0.282)  0.01
O (0.610, 0.321, 0.738)  0.00
Na (0.674, 0.673, 0.499)  0.00
Tc (0.351, 0.351, 0.501)  -0.04

***

Record 6
VASP calculation (PBE) on a relaxed NaNdTe2O8 crystal.

Calculated values
Final energy (eV per atom): -5.93
ρ (Mg/m³): 5.4
Formation energy without anion corrections (eV/atom): -1.590
Density of states at the Fermi level (states/eV/cell): 0.00

a = 5.384 Å, b = 5.384 Å, c = 6.955 Å
α = 112.77°, β = 112.77°, γ = 90.00°
Sites, in units of the cell vectors:
O (0.579, 0.679, 0.674)
O (0.006, 0.421, 0.326)
O (0.321, 0.906, 0.326)
O (0.659, 0.250, 0.835)
O (0.415, 0.341, 0.165)
O (0.176, 0.585, 0.835)
O (0.750, 0.824, 0.165)
O (0.094, 0.994, 0.674)
Na (0.750, 0.250, 0.500)
Te (0.250, 0.750, 0.500)
Te (0.500, 0.500, 0.000)
Nd (0.000, 0.000, 0.000)

***

Record 7
VASP calculation (PBE) on a relaxed NaNd2TeO6 crystal.

Calculated values
Final energy (eV per atom): -6.64
ρ (Mg/m³): 5.8
Formation energy without anion corrections (eV/atom): -2.268
Density of states at the Fermi level (states/eV/cell): 3.35

a = 5.924 Å, b = 5.924 Å, c = 6.078 Å
α = 60.83°, β = 60.83°, γ = 60.00°
Last column: magnetic moment on the atom in μB.
Sites, in units of the cell vectors:
Te (0.319, 0.319, 0.042)  0.14
Na (0.804, 0.804, 0.589)  0.00
O (0.960, 0.588, 0.244)  0.11
O (0.588, 0.208, 0.244)  0.11
O (0.666, 0.135, 0.781)  0.05
O (0.135, 0.417, 0.781)  0.05
O (0.417, 0.666, 0.781)  0.05
O (0.208, 0.960, 0.244)  0.11
Nd (0.028, 0.028, 0.916)  0.01
Nd (0.535, 0.535, 0.395)  0.01

***

Record 8
VASP calculation (PBE) on a relaxed NaNdTe2O6 crystal.

Calculated values
Final energy (eV per atom): -5.96
ρ (Mg/m³): 5.3
Formation energy without anion corrections (eV/atom): -1.752
Density of states at the Fermi level (states/eV/cell): 0.00

a = 6.844 Å, b = 6.946 Å, c = 6.946 Å
α = 99.25°, β = 86.13°, γ = 86.13°
Sites, in units of the cell vectors:
Na (0.250, 0.288, 0.712)
Na (0.750, 0.712, 0.288)
O (0.801, 0.440, 0.018)
O (0.939, 0.288, 0.595)
O (0.699, 0.982, 0.560)
O (0.592, 0.807, 0.954)
O (0.408, 0.193, 0.046)
O (0.092, 0.954, 0.807)
O (0.061, 0.712, 0.405)
O (0.199, 0.560, 0.982)
O (0.561, 0.405, 0.712)
O (0.439, 0.595, 0.288)
O (0.908, 0.046, 0.193)
O (0.301, 0.018, 0.440)
Nd (0.250, 0.890, 0.110)
Nd (0.750, 0.110, 0.890)
Te (0.752, 0.576, 0.807)
Te (0.248, 0.424, 0.193)
Te (0.252, 0.807, 0.576)
Te (0.748, 0.193, 0.424)

***

Record 9
VASP calculation (PBE) on a relaxed NaNdTiO4 crystal.

Calculated values
Final energy (eV per atom): -7.77
ρ (Mg/m³): 5.0
Formation energy without anion corrections (eV/atom): -2.939
Offset from the most stable computed form (meV/atom): 0
Density of states at the Fermi level (states/eV/cell): 0.00

a = 3.755 Å, b = 3.755 Å, c = 13.127 Å
α = 90.00°, β = 90.00°, γ = 90.00°
Sites, in units of the cell vectors:
O (0.500, 0.500, 0.234)
O (0.000, 0.500, 0.931)
O (0.000, 0.500, 0.594)
O (0.500, 0.000, 0.406)
O (0.500, 0.500, 0.766)
O (0.000, 0.000, 0.766)
O (0.000, 0.000, 0.234)
O (0.500, 0.000, 0.069)
Ti (0.000, 0.500, 0.729)
Ti (0.500, 0.000, 0.271)
Na (0.500, 0.000, 0.583)
Na (0.000, 0.500, 0.417)
Nd (0.000, 0.500, 0.108)
Nd (0.500, 0.000, 0.892)

***

Record 10
VASP calculation (PBE) on a relaxed NaNdTiO4 crystal.

Calculated values
Final energy (eV per atom): -7.73
ρ (Mg/m³): 5.2
Formation energy without anion corrections (eV/atom): -2.896
Offset from the most stable computed form (meV/atom): 43
Density of states at the Fermi level (states/eV/cell): 0.00

a = 3.798 Å, b = 3.798 Å, c = 6.787 Å
α = 106.25°, β = 106.25°, γ = 90.00°
Sites, in units of the cell vectors:
O (0.164, 0.164, 0.327)
O (0.832, 0.832, 0.665)
O (0.490, 0.990, 0.980)
O (0.990, 0.490, 0.980)
Na (0.652, 0.652, 0.304)
Ti (0.017, 0.017, 0.035)
Nd (0.355, 0.355, 0.709)

***

Record 11
VASP calculation (PBE) on a relaxed Na4Nd3TiO8 crystal.

Calculated values
Final energy (eV per atom): -6.68
ρ (Mg/m³): 5.0
Formation energy without anion corrections (eV/atom): -2.481
Density of states at the Fermi level (states/eV/cell): 2.32

a = 6.936 Å, b = 6.900 Å, c = 6.937 Å
α = 120.19°, β = 119.99°, γ = 90.00°
Last column: magnetic moment on the atom in μB.
Sites, in units of the cell vectors:
Ti (0.000, 0.500, 0.000)  0.81
Nd (0.000, 0.500, 0.500)  0.01
Nd (0.500, 0.500, 0.500)  0.01
Nd (0.500, 0.500, 0.000)  0.02
O (0.741, 0.723, 0.483)  0.00
O (0.791, 0.304, 0.582)  -0.01
O (0.770, 0.283, 0.016)  0.01
O (0.755, 0.717, 0.984)  0.01
O (0.259, 0.277, 0.517)  0.00
O (0.209, 0.696, 0.418)  -0.01
O (0.230, 0.717, 0.984)  0.01
O (0.245, 0.283, 0.016)  0.01
Na (0.500, 0.000, 0.500)  0.00
Na (0.500, 0.000, 0.000)  0.00
Na (0.000, 0.000, 0.000)  0.00
Na (0.000, 0.000, 0.500)  0.00

***

Record 12
VASP calculation (PBE) on a relaxed Na3Nd3TiO8 crystal.

Calculated values
Final energy (eV per atom): -7.08
ρ (Mg/m³): 4.9
Formation energy without anion corrections (eV/atom): -2.688
Density of states at the Fermi level (states/eV/cell): 0.00

a = 6.931 Å, b = 6.931 Å, c = 6.860 Å
α = 120.35°, β = 90.00°, γ = 120.00°
Sites, in units of the cell vectors:
Ti (0.000, 0.000, 0.500)
O (0.740, 0.480, 0.720)
O (0.209, 0.418, 0.696)
O (0.260, 0.520, 0.280)
O (0.209, 0.987, 0.696)
O (0.223, 0.013, 0.304)
O (0.791, 0.013, 0.304)
O (0.777, 0.987, 0.696)
O (0.791, 0.582, 0.304)
Na (0.500, 0.500, 0.000)
Na (0.000, 0.500, 0.000)
Na (0.000, 0.000, 0.000)
Nd (0.500, 0.000, 0.500)
Nd (0.000, 0.500, 0.500)
Nd (0.500, 0.500, 0.500)